(1)
First-principles (PBE) data for a relaxed structure of Sn2Te2Au, as listed in Alexandria via LeMat-Bulk.

The space group is P4/mbm (No. 127) and the conventional cell measures 8.2161, 8.2161 and 4.3272 Å, with angles of 90.00, 90.00 and 90.00 degrees. The asymmetric unit holds Sn at (0.1441, 0.3559, 0.0000), Te at (0.1777, 0.6777, 0.5000) and Au at (0.0000, 0.0000, 0.5000).

The polymorph energy (0 for the lowest one) is 75 kJ/mol of formula units. The density comes out at 7840 kg/m3.

(2)
First-principles (PBE) data for a relaxed structure of CoNiW2, as listed in Alexandria via LeMat-Bulk.

The space group is P4/mmm (No. 123) and the conventional cell measures 2.6834, 2.6834 and 7.4153 Å, with angles of 90.00, 90.00 and 90.00 degrees. The asymmetric unit holds Co at (0.0000, 0.0000, 0.0000), Ni at (0.0000, 0.0000, 0.5000) and W at (0.5000, 0.5000, 0.2462).

The calculation puts the formation energy at 65.8 meV per atom. The polymorph energy (0 for the lowest one) is 10 kJ/mol of formula units. The density comes out at 15093 kg/m3.

(3)
First-principles (PBE) data for a relaxed structure of Sc2TcAu2, as listed in Alexandria via LeMat-Bulk.

The space group is P4/mbm (No. 127) and the conventional cell measures 7.4802, 7.4802 and 3.4190 Å, with angles of 90.00, 90.00 and 90.00 degrees. The asymmetric unit holds Sc at (0.1630, 0.3370, 0.0000), Tc at (0.0000, 0.0000, 0.0000) and Au at (0.1378, 0.6378, 0.5000).

The calculation puts the formation energy at -218.1 meV per atom. The polymorph energy (0 for the lowest one) is 0 kJ/mol of formula units. The density comes out at 10101 kg/m3.

(4)
First-principles (PBE) data for a relaxed structure of LiSmEr, as listed in Alexandria via LeMat-Bulk.

The space group is C2/m (No. 12) and the conventional cell measures 6.0975, 3.5191 and 16.3123 Å, with angles of 90.00, 90.05 and 90.00 degrees. The asymmetric unit holds Li at (0.1659, 0.0000, 0.0688), Sm at (0.1662, 0.0000, 0.4065) and Er at (0.0011, 0.5000, 0.7686).

The calculation puts the formation energy at 79.1 meV per atom. The polymorph energy (0 for the lowest one) is 0 kJ/mol of formula units. The density comes out at 6159 kg/m3.

(5)
First-principles (PBE) data for a relaxed structure of SrTe3Ru, as listed in Alexandria via LeMat-Bulk.

The space group is Pm-3m (No. 221) and the conventional cell measures 5.3410, 5.3410 and 5.3410 Å, with angles of 90.00, 90.00 and 90.00 degrees. The asymmetric unit holds Sr at (0.0000, 0.0000, 0.0000), Te at (0.0000, 0.5000, 0.5000) and Ru at (0.5000, 0.5000, 0.5000).

The polymorph energy (0 for the lowest one) is 0 kJ/mol of formula units. The density comes out at 6229 kg/m3.

(6)
First-principles (PBE) data for a relaxed structure of NaIn2GaHg4, as listed in Alexandria via LeMat-Bulk.

The space group is F222 (No. 22) and the conventional cell measures 8.5825, 8.6115 and 12.0308 Å, with angles of 90.00, 90.00 and 90.00 degrees. The asymmetric unit holds Na at (0.0000, 0.0000, 0.0000), In at (0.0000, 0.0000, 0.5000), In at (0.2500, 0.2500, 0.7500), Ga at (0.2500, 0.2500, 0.2500), Hg at (0.0000, 0.0000, 0.2526) and Hg at (0.2500, 0.2500, 0.0117).

The calculation puts the formation energy at -2.6 meV per atom. The density comes out at 8402 kg/m3.

(7)
First-principles (PBE) data for a relaxed structure of TiSiTc2, as listed in Alexandria via LeMat-Bulk.

The space group is I-42d (No. 122) and the conventional cell measures 3.7994, 3.7994 and 17.9855 Å, with angles of 90.00, 90.00 and 90.00 degrees. The asymmetric unit holds Ti at (0.0000, 0.0000, 0.0000), Si at (0.0000, 0.0000, 0.5000) and Tc at (0.1910, 0.2500, 0.6250).

The value obtained for the total energy is -134.36 eV per cell. The density comes out at 6957 kg/m3.

(8)
First-principles (PBE) data for a relaxed structure of Sn2Pb3Au7, as listed in Alexandria via LeMat-Bulk.

The space group is P-1 (No. 2) and the conventional cell measures 4.1962, 4.2050 and 16.8546 Å, with angles of 93.46, 92.44 and 90.26 degrees. The asymmetric unit holds Sn at (0.1897, 0.1645, 0.1574), Pb at (0.2632, 0.2667, 0.5693), Pb at (0.5000, 0.5000, 0.0000), Au at (0.0000, 0.0000, 0.0000), Au at (0.2091, 0.6940, 0.2666), Au at (0.2328, 0.2258, 0.3897) and Au at (0.2893, 0.8066, 0.7331).

The calculation puts the formation energy at -30.9 meV per atom. The density comes out at 12529 kg/m3.

(9)
First-principles (PBE) data for a relaxed structure of NdSnBi2, as listed in Alexandria via LeMat-Bulk.

The space group is Pna2_1 (No. 33) and the conventional cell measures 6.3523, 11.2789 and 6.7807 Å, with angles of 90.00, 90.00 and 90.00 degrees. The asymmetric unit holds Nd at (0.1456, 0.1143, 0.0000), Sn at (0.1515, 0.3748, 0.7440), Bi at (0.1386, 0.3807, 0.2442) and Bi at (0.1560, 0.1247, 0.5032).

The calculation puts the formation energy at -408.6 meV per atom. The polymorph energy (0 for the lowest one) is 19 kJ/mol of formula units. The density comes out at 9310 kg/m3.

(10)
First-principles (PBE) data for a relaxed structure of ZnHg3Bi, as listed in Alexandria via LeMat-Bulk.

The space group is Pm-3m (No. 221) and the conventional cell measures 5.2065, 5.2065 and 5.2065 Å, with angles of 90.00, 90.00 and 90.00 degrees. The asymmetric unit holds Zn at (0.0000, 0.0000, 0.0000), Hg at (0.0000, 0.0000, 0.5000) and Bi at (0.5000, 0.5000, 0.5000).

The calculation puts the formation energy at 273.1 meV per atom. The polymorph energy (0 for the lowest one) is 0 kJ/mol of formula units. The density comes out at 10308 kg/m3.

(11)
First-principles (PBE) data for a relaxed structure of ScInOs2, as listed in Alexandria via LeMat-Bulk.

The space group is P4mm (No. 99) and the conventional cell measures 3.3149, 3.3149 and 6.2893 Å, with angles of 90.00, 90.00 and 90.00 degrees. The asymmetric unit holds Sc at (0.0000, 0.0000, 0.0000), In at (0.5000, 0.5000, 0.2953), Os at (0.0000, 0.0000, 0.5276) and Os at (0.5000, 0.5000, 0.7846).

The calculation puts the formation energy at 283.7 meV per atom. The density comes out at 12980 kg/m3.

(12)
First-principles (PBE) data for a relaxed structure of Er3PuH, as listed in Alexandria via LeMat-Bulk.

The space group is Pm-3m (No. 221) and the conventional cell measures 4.8908, 4.8908 and 4.8908 Å, with angles of 90.00, 90.00 and 90.00 degrees. The asymmetric unit holds Er at (0.0000, 0.0000, 0.5000), Pu at (0.5000, 0.5000, 0.5000) and H at (0.0000, 0.0000, 0.0000).

The value obtained for the total energy is -31.71 eV per cell. The density comes out at 10600 kg/m3.

Q: What is the formula in the twelfth record?
A: Er3PuH